Arrangement a

A plane-wave DFT calculation with PBE was carried out for crystalline TbW at its relaxed geometry.

Summary:
space-group type	F-43m (216)

a = 4.609 Å, b = 4.609 Å, c = 4.609 Å
α = 60.00°, β = 60.00°, γ = 60.00°
Sites, in units of the cell vectors:
1 Tb 0.000 0.000 0.000
2 W 0.250 0.250 0.250

=====

Arrangement b

A plane-wave DFT calculation with PBE was carried out for crystalline TbW at its relaxed geometry.

Summary:
space-group type	Fm-3m (225)

a = 4.105 Å, b = 4.105 Å, c = 4.105 Å
α = 60.00°, β = 60.00°, γ = 60.00°
Sites, in units of the cell vectors:
1 Tb 0.000 0.000 0.000
2 W 0.500 0.500 0.500

=====

Unit: meV/atom. Relative energies: arrangement a 1129; arrangement b 0.

=====

Arrangement a

A plane-wave DFT calculation with PBE was carried out for crystalline TbZr at its relaxed geometry.

Summary:
space-group type	P2_1/m (11)

a = 9.083 Å, b = 6.776 Å, c = 5.388 Å
α = 90.00°, β = 90.00°, γ = 100.84°
Sites, in units of the cell vectors:
1 Tb 0.685 0.170 0.000
2 Tb 0.324 0.327 0.000
3 Tb 0.327 0.837 0.000
4 Tb 0.564 0.396 0.500
5 Tb 0.204 0.552 0.500
6 Tb 0.562 0.885 0.500
7 Zr 0.986 0.506 0.000
8 Zr 0.691 0.675 0.000
9 Zr 0.996 0.991 0.000
10 Zr 0.198 0.048 0.500
11 Zr 0.902 0.216 0.500
12 Zr 0.893 0.731 0.500

=====

Arrangement b

A plane-wave DFT calculation with PBE was carried out for crystalline TbZr at its relaxed geometry.

Summary:
space-group type	Pmc2_1 (26)

a = 5.847 Å, b = 10.340 Å, c = 5.379 Å
α = 90.00°, β = 90.00°, γ = 90.00°
Sites, in units of the cell vectors:
1 Tb 0.489 0.160 0.000
2 Tb 0.989 0.673 0.000
3 Tb 0.851 0.158 0.500
4 Tb 0.327 0.337 0.500
5 Tb 0.827 0.496 0.500
6 Tb 0.350 0.675 0.500
7 Zr 0.997 0.339 0.000
8 Zr 0.497 0.495 0.000
9 Zr 0.514 0.844 0.000
10 Zr 0.014 0.989 0.000
11 Zr 0.823 0.850 0.500
12 Zr 0.323 0.983 0.500

=====

Arrangement c

A plane-wave DFT calculation with PBE was carried out for crystalline TbZr at its relaxed geometry.

Summary:
space-group type	Pnma (62)

a = 5.880 Å, b = 6.807 Å, c = 5.396 Å
α = 90.00°, β = 90.00°, γ = 89.99°
Sites, in units of the cell vectors:
1 Tb 0.006 0.501 0.000
2 Tb 0.506 0.749 0.000
3 Tb 0.328 0.001 0.500
4 Tb 0.827 0.249 0.500
5 Zr 0.485 0.253 0.000
6 Zr 0.985 0.998 0.000
7 Zr 0.348 0.497 0.500
8 Zr 0.848 0.752 0.500

=====

Unit: meV/atom. Relative energies: arrangement a 0; arrangement b 11; arrangement c 27.

=====

Arrangement a

A plane-wave DFT calculation with PBE was carried out for crystalline TbZr at its relaxed geometry.

Summary:
space-group type	Amm2 (38)

a = 5.883 Å, b = 9.088 Å, c = 5.379 Å
α = 90.00°, β = 90.00°, γ = 71.11°
Sites, in units of the cell vectors:
1 Tb 0.420 0.191 0.000
2 Tb 0.811 0.409 0.000
3 Tb 0.582 0.800 0.000
4 Tb 0.067 0.180 0.500
5 Tb 0.447 0.420 0.500
6 Zr 0.179 0.618 0.000
7 Zr 0.997 0.982 0.000
8 Zr 0.879 0.616 0.500
9 Zr 0.256 0.800 0.500
10 Zr 0.695 0.984 0.500

=====

Arrangement b

A plane-wave DFT calculation with PBE was carried out for crystalline TbZr at its relaxed geometry.

Summary:
space-group type	F-43m (216)

a = 4.609 Å, b = 4.609 Å, c = 4.609 Å
α = 60.00°, β = 60.00°, γ = 60.00°
Sites, in units of the cell vectors:
1 Tb 0.000 0.000 0.000
2 Zr 0.250 0.250 0.250

=====

Unit: meV/atom. Relative energies: arrangement a 0; arrangement b 2172.

=====

Arrangement a

A plane-wave DFT calculation with PBE was carried out for crystalline TbZr at its relaxed geometry.

Summary:
space-group type	Pmmn (59)

a = 11.845 Å, b = 6.784 Å, c = 5.398 Å
α = 90.00°, β = 90.00°, γ = 90.00°
Sites, in units of the cell vectors:
1 Tb 0.747 0.252 0.000
2 Tb 0.019 0.500 0.000
3 Tb 0.493 0.500 0.000
4 Tb 0.747 0.748 0.000
5 Tb 0.174 0.000 0.500
6 Tb 0.648 0.000 0.500
7 Tb 0.920 0.248 0.500
8 Tb 0.920 0.752 0.500
9 Zr 0.011 0.000 0.000
10 Zr 0.477 0.000 0.000
11 Zr 0.254 0.252 0.000
12 Zr 0.254 0.748 0.000
13 Zr 0.413 0.248 0.500
14 Zr 0.189 0.500 0.500
15 Zr 0.655 0.500 0.500
16 Zr 0.413 0.752 0.500

=====

Arrangement b

A plane-wave DFT calculation with PBE was carried out for crystalline TbZr at its relaxed geometry.

Summary:
space-group type	P2_1/m (11)

a = 9.084 Å, b = 6.759 Å, c = 5.395 Å
α = 90.00°, β = 90.00°, γ = 100.18°
Sites, in units of the cell vectors:
1 Tb 0.691 0.171 0.000
2 Tb 0.324 0.329 0.000
3 Tb 0.672 0.670 0.000
4 Tb 0.551 0.385 0.500
5 Tb 0.898 0.727 0.500
6 Tb 0.531 0.885 0.500
7 Zr 0.011 0.010 0.000
8 Zr 0.008 0.495 0.000
9 Zr 0.306 0.823 0.000
10 Zr 0.211 0.046 0.500
11 Zr 0.917 0.232 0.500
12 Zr 0.214 0.560 0.500

=====

Arrangement c

A plane-wave DFT calculation with PBE was carried out for crystalline TbZr at its relaxed geometry.

Summary:
space-group type	Pbcm (57)

a = 5.764 Å, b = 7.107 Å, c = 5.346 Å
α = 90.00°, β = 90.00°, γ = 90.00°
Sites, in units of the cell vectors:
1 Tb 0.979 0.478 0.000
2 Tb 0.479 0.772 0.000
3 Tb 0.354 0.478 0.500
4 Tb 0.854 0.772 0.500
5 Zr 0.010 0.026 0.000
6 Zr 0.510 0.224 0.000
7 Zr 0.324 0.026 0.500
8 Zr 0.824 0.224 0.500

=====

Unit: meV/atom. Relative energies: arrangement a 25; arrangement b 18; arrangement c 0.

=====

Arrangement a

A plane-wave DFT calculation with PBE was carried out for crystalline TbZr at its relaxed geometry.

Summary:
space-group type	Pmc2_1 (26)

a = 5.865 Å, b = 10.335 Å, c = 5.372 Å
α = 90.00°, β = 90.00°, γ = 90.00°
Sites, in units of the cell vectors:
1 Tb 0.489 0.183 0.000
2 Tb 0.989 0.984 0.000
3 Tb 0.850 0.176 0.500
4 Tb 0.824 0.501 0.500
5 Tb 0.324 0.666 0.500
6 Tb 0.350 0.991 0.500
7 Zr 0.019 0.351 0.000
8 Zr 0.491 0.497 0.000
9 Zr 0.991 0.670 0.000
10 Zr 0.519 0.816 0.000
11 Zr 0.326 0.342 0.500
12 Zr 0.826 0.825 0.500

=====

Arrangement b

A plane-wave DFT calculation with PBE was carried out for crystalline TbZr at its relaxed geometry.

Summary:
space-group type	Pmma (51)

a = 5.996 Å, b = 3.367 Å, c = 5.378 Å
α = 90.00°, β = 90.00°, γ = 90.00°
Sites, in units of the cell vectors:
1 Tb 0.501 0.500 0.000
2 Tb 0.833 0.500 0.500
3 Zr 0.029 0.000 0.000
4 Zr 0.305 0.000 0.500

=====

Arrangement c

A plane-wave DFT calculation with PBE was carried out for crystalline TbZr at its relaxed geometry.

Summary:
space-group type	P2_1/m (11)

a = 8.990 Å, b = 6.792 Å, c = 5.402 Å
α = 90.00°, β = 90.00°, γ = 100.83°
Sites, in units of the cell vectors:
1 Tb 0.344 0.324 0.000
2 Tb 0.989 0.497 0.000
3 Tb 0.341 0.846 0.000
4 Tb 0.881 0.209 0.500
5 Tb 0.234 0.558 0.500
6 Tb 0.879 0.731 0.500
7 Zr 0.003 0.003 0.000
8 Zr 0.671 0.156 0.000
9 Zr 0.661 0.676 0.000
10 Zr 0.219 0.053 0.500
11 Zr 0.562 0.380 0.500
12 Zr 0.551 0.900 0.500

=====

Arrangement d

A plane-wave DFT calculation with PBE was carried out for crystalline TbZr at its relaxed geometry.

Summary:
space-group type	Pmmn (59)

a = 5.990 Å, b = 3.368 Å, c = 5.359 Å
α = 90.00°, β = 90.00°, γ = 90.00°
Sites, in units of the cell vectors:
1 Tb 0.515 0.500 0.000
2 Tb 0.319 0.000 0.500
3 Zr 0.989 0.000 0.000
4 Zr 0.845 0.500 0.500

=====

Unit: meV/atom. Relative energies: arrangement a 0; arrangement b 9; arrangement c 21; arrangement d 16.

=====

Arrangement a

A plane-wave DFT calculation with PBE was carried out for crystalline TbZr at its relaxed geometry.

Summary:
space-group type	P-6m2 (187)

a = 6.862 Å, b = 6.862 Å, c = 5.341 Å
α = 90.00°, β = 90.00°, γ = 120.00°
Sites, in units of the cell vectors:
1 Tb 0.000 0.000 0.000
2 Tb 0.829 0.171 0.500
3 Tb 0.341 0.171 0.500
4 Tb 0.829 0.659 0.500
5 Zr 0.028 0.514 0.000
6 Zr 0.486 0.514 0.000
7 Zr 0.486 0.972 0.000
8 Zr 0.333 0.667 0.500

=====

Arrangement b

A plane-wave DFT calculation with PBE was carried out for crystalline TbZr at its relaxed geometry.

Summary:
space-group type	Amm2 (38)

a = 5.881 Å, b = 9.044 Å, c = 5.384 Å
α = 90.00°, β = 90.00°, γ = 71.02°
Sites, in units of the cell vectors:
1 Tb 0.818 0.394 0.000
2 Tb 0.191 0.600 0.000
3 Tb 0.611 0.806 0.000
4 Tb 0.469 0.386 0.500
5 Tb 0.255 0.814 0.500
6 Zr 0.976 0.020 0.000
7 Zr 0.396 0.180 0.000
8 Zr 0.675 0.007 0.500
9 Zr 0.082 0.193 0.500
10 Zr 0.861 0.600 0.500

=====

Unit: meV/atom. Relative energies: arrangement a 9; arrangement b 0.

=====

Arrangement a

A plane-wave DFT calculation with PBE was carried out for crystalline TbZr at its relaxed geometry.

Summary:
space-group type	Pmmn (59)

a = 11.931 Å, b = 3.370 Å, c = 5.403 Å
α = 90.00°, β = 90.00°, γ = 90.00°
Sites, in units of the cell vectors:
1 Tb 0.514 0.000 0.000
2 Tb 0.235 0.500 0.000
3 Tb 0.682 0.000 0.500
4 Tb 0.403 0.500 0.500
5 Zr 0.992 0.000 0.000
6 Zr 0.771 0.500 0.000
7 Zr 0.145 0.000 0.500
8 Zr 0.925 0.500 0.500

=====

Arrangement b

A plane-wave DFT calculation with PBE was carried out for crystalline TbZr at its relaxed geometry.

Summary:
space-group type	Pmm2 (25)

a = 5.889 Å, b = 6.919 Å, c = 5.349 Å
α = 90.00°, β = 90.00°, γ = 90.00°
Sites, in units of the cell vectors:
1 Tb 0.992 0.000 0.000
2 Tb 0.350 0.000 0.500
3 Tb 0.828 0.266 0.500
4 Tb 0.828 0.734 0.500
5 Zr 0.493 0.281 0.000
6 Zr 0.026 0.500 0.000
7 Zr 0.493 0.719 0.000
8 Zr 0.323 0.500 0.500

=====

Unit: meV/atom. Relative energies: arrangement a 0; arrangement b 13.

=====

Arrangement a

A plane-wave DFT calculation with PBE was carried out for crystalline Tb2Zr at its relaxed geometry.

Summary:
space-group type	Fm-3m (225)

a = 5.223 Å, b = 5.223 Å, c = 5.223 Å
α = 60.00°, β = 60.00°, γ = 60.00°
Sites, in units of the cell vectors:
1 Tb 0.250 0.250 0.250
2 Tb 0.750 0.750 0.750
3 Zr 0.000 0.000 0.000

=====

Arrangement b

A plane-wave DFT calculation with PBE was carried out for crystalline Tb2Zr at its relaxed geometry.

Summary:
space-group type	Fd-3m (227)

a = 8.521 Å, b = 8.521 Å, c = 8.521 Å
α = 60.00°, β = 60.00°, γ = 60.00°
Sites, in units of the cell vectors:
1 Tb 0.875 0.375 0.375
2 Tb 0.375 0.875 0.375
3 Tb 0.375 0.375 0.375
4 Tb 0.375 0.375 0.875
5 Zr 0.250 0.250 0.250
6 Zr 0.500 0.500 0.500

=====

Arrangement c

A plane-wave DFT calculation with PBE was carried out for crystalline Tb2Zr at its relaxed geometry.

Summary:
space-group type	Cmcm (63)

a = 7.660 Å, b = 7.660 Å, c = 4.807 Å
α = 90.00°, β = 90.00°, γ = 143.06°
Sites, in units of the cell vectors:
1 Tb 0.750 0.250 0.250
2 Tb 0.079 0.921 0.250
3 Tb 0.921 0.079 0.750
4 Tb 0.250 0.750 0.750
5 Zr 0.424 0.576 0.250
6 Zr 0.576 0.424 0.750

=====

Arrangement d

A plane-wave DFT calculation with PBE was carried out for crystalline Tb2Zr at its relaxed geometry.

Summary:
space-group type	Fd-3m (227)

a = 6.271 Å, b = 6.271 Å, c = 6.271 Å
α = 60.00°, β = 60.00°, γ = 60.00°
Sites, in units of the cell vectors:
1 Tb 0.625 0.625 0.125
2 Tb 0.625 0.125 0.625
3 Tb 0.125 0.625 0.625
4 Tb 0.625 0.625 0.625
5 Zr 0.000 0.000 0.000
6 Zr 0.250 0.250 0.250

=====

Unit: meV/atom. Relative energies: arrangement a 685; arrangement b 2259; arrangement c 0; arrangement d 432.

=====

Arrangement a

A plane-wave DFT calculation with PBE was carried out for crystalline TcTe at its relaxed geometry.

Summary:
space-group type	P-6m2 (187)

a = 3.337 Å, b = 3.337 Å, c = 3.942 Å
α = 90.00°, β = 90.00°, γ = 120.00°
Sites, in units of the cell vectors:
1 Tc 0.667 0.333 0.750
2 Te 0.333 0.667 0.250

=====

Arrangement b

A plane-wave DFT calculation with PBE was carried out for crystalline TcTe at its relaxed geometry.

Summary:
space-group type	F-43m (216)

a = 4.204 Å, b = 4.204 Å, c = 4.204 Å
α = 60.00°, β = 60.00°, γ = 60.00°
Sites, in units of the cell vectors:
1 Tc 0.000 0.000 0.000
2 Te 0.250 0.250 0.250

=====

Unit: meV/atom. Relative energies: arrangement a 0; arrangement b 131.

=====

Arrangement a

A plane-wave DFT calculation with PBE was carried out for crystalline Tc2Te at its relaxed geometry.

Summary:
space-group type	Fd-3m (227)

a = 8.662 Å, b = 8.662 Å, c = 8.662 Å
α = 60.00°, β = 60.00°, γ = 60.00°
Sites, in units of the cell vectors:
1 Tc 0.375 0.375 0.375
2 Tc 0.875 0.375 0.375
3 Tc 0.375 0.875 0.375
4 Tc 0.375 0.375 0.875
5 Te 0.250 0.250 0.250
6 Te 0.500 0.500 0.500

=====

Arrangement b

A plane-wave DFT calculation with PBE was carried out for crystalline Tc2Te at its relaxed geometry.

Summary:
space-group type	Fm-3m (225)

a = 4.312 Å, b = 4.312 Å, c = 4.312 Å
α = 60.00°, β = 60.00°, γ = 60.00°
Sites, in units of the cell vectors:
1 Tc 0.250 0.250 0.250
2 Tc 0.750 0.750 0.750
3 Te 0.000 0.000 0.000

=====

Unit: meV/atom. Relative energies: arrangement a 1919; arrangement b 0.